1.
The following is a DFT calculation (PBE) of crystalline Pu3Zn2Si3 at its relaxed geometry.

The structure in CIF format:
```
data_Pu3Zn2Si3
_chemical_formula_sum 'Pu6 Zn4 Si6'
_cell_length_a 4.224
_cell_length_b 5.702
_cell_length_c 14.037
_cell_angle_alpha 90.00
_cell_angle_beta 90.00
_cell_angle_gamma 111.74
_symmetry_space_group_name_H-M 'P 1'
_symmetry_Int_Tables_number 1
_symmetry_space_group_name_Hall 'P 1'
loop_
_atom_site_label
_atom_site_fract_x
_atom_site_fract_y
_atom_site_fract_z
Pu1 0.928 0.856 0.384
Pu2 0.072 0.144 0.884
Pu3 0.928 0.856 0.116
Pu4 0.072 0.144 0.616
Pu5 0.634 0.268 0.250
Pu6 0.366 0.732 0.750
Zn1 0.781 0.562 0.910
Zn2 0.219 0.438 0.410
Zn3 0.781 0.562 0.590
Zn4 0.219 0.438 0.090
Si1 0.607 0.214 0.460
Si2 0.393 0.786 0.960
Si3 0.607 0.214 0.040
Si4 0.393 0.786 0.540
Si5 0.345 0.690 0.250
Si6 0.655 0.310 0.750
```

symmetry	Cmcm
energy relative to the elements, uncorrected	-2.472	eV/f.u.

***

2.
The following is a DFT calculation (PBE) of crystalline Pm5PrHo3 at its relaxed geometry.

The structure in CIF format:
```
data_Pm5PrHo3
_chemical_formula_sum 'Pm10 Pr2 Ho6'
_cell_length_a 9.396
_cell_length_b 10.005
_cell_length_c 7.302
_cell_angle_alpha 90.00
_cell_angle_beta 90.00
_cell_angle_gamma 118.01
_symmetry_space_group_name_H-M 'P 1'
_symmetry_Int_Tables_number 1
_symmetry_space_group_name_Hall 'P 1'
loop_
_atom_site_label
_atom_site_fract_x
_atom_site_fract_y
_atom_site_fract_z
Pm1 0.335 0.000 0.750
Pm2 0.511 0.670 0.999
Pm3 0.842 0.330 0.999
Pm4 0.489 0.330 0.001
Pm5 0.511 0.670 0.501
Pm6 0.665 0.000 0.250
Pm7 0.158 0.670 0.499
Pm8 0.842 0.330 0.501
Pm9 0.489 0.330 0.499
Pm10 0.158 0.670 0.001
Pr1 0.699 0.000 0.750
Pr2 0.301 0.000 0.250
Ho1 0.000 0.000 0.000
Ho2 0.822 0.644 0.250
Ho3 0.000 0.000 0.500
Ho4 0.178 0.356 0.750
Ho5 0.822 0.644 0.750
Ho6 0.178 0.356 0.250
```

excess energy over the best structure of this formula in the dataset	0.0	meV per atom
symmetry	Cmcm
formation energy	0.1283	eV/atom

***

3.
The following is a DFT calculation (PBE) of crystalline Ca2YPPb at its relaxed geometry.

The structure in CIF format:
```
data_Ca2YPPb
_chemical_formula_sum 'Ca2 Y1 P1 Pb1'
_cell_length_a 5.353
_cell_length_b 5.353
_cell_length_c 5.373
_cell_angle_alpha 90.00
_cell_angle_beta 90.00
_cell_angle_gamma 90.00
_symmetry_space_group_name_H-M 'P 1'
_symmetry_Int_Tables_number 1
_symmetry_space_group_name_Hall 'P 1'
loop_
_atom_site_label
_atom_site_fract_x
_atom_site_fract_y
_atom_site_fract_z
Pb1 0.500 0.500 0.500
Y1 0.000 0.000 0.500
Ca1 0.000 0.500 0.000
Ca2 0.500 0.000 0.000
P1 0.000 0.000 0.000
```

symmetry	P4/mmm
formation energy	-0.7860	eV/atom

***

4.
The following is a DFT calculation (PBE) of crystalline Y2Al3Ag at its relaxed geometry.

The structure in CIF format:
```
data_Y2Al3Ag
_chemical_formula_sum 'Y2 Al3 Ag1'
_cell_length_a 4.559
_cell_length_b 5.770
_cell_length_c 5.832
_cell_angle_alpha 77.02
_cell_angle_beta 66.99
_cell_angle_gamma 66.73
_symmetry_space_group_name_H-M 'P 1'
_symmetry_Int_Tables_number 1
_symmetry_space_group_name_Hall 'P 1'
loop_
_atom_site_label
_atom_site_fract_x
_atom_site_fract_y
_atom_site_fract_z
Y1 0.535 0.213 0.717
Y2 0.461 0.785 0.292
Al1 0.839 0.617 0.706
Al2 0.836 0.212 0.117
Al3 0.163 0.791 0.883
Ag1 0.166 0.382 0.285
```

excess energy over the best structure of this formula in the dataset	0.0	meV per atom
symmetry	Cm
formation energy	-0.4719	eV/atom